Compound: DyEr3Tc
Source: Alexandria
Functional: PBE
Structure: optimized geometry

## Properties
* ΔE to the lowest computed polymorph: 172 meV per atom
* energy: -5.5941 eV per atom
* formation energy from the elements: 3.2 kcal/mol of atoms

a b c (Å): 5.338 5.338 5.338
angles (deg): 90.00 90.00 90.00
Space group Pm-3m (No. 221)
Asymmetric unit:
Dy: 0.000 0.000 0.000 (multiplicity 1)
Er: 0.000 0.500 0.500 (multiplicity 3)
Tc: 0.500 0.500 0.500 (multiplicity 1)